one.
Density functional theory data (GGA-PBE) for a relaxed PrEr4 crystal.

a b c (Å): 6.473 6.473 9.052
angles (deg): 110.95 110.95 90.00
Positions (direct):
Pr: 0.750 0.250 0.500
Pr: 0.000 0.000 0.000
Er: 0.077 0.918 0.348
Er: 0.479 0.821 0.152
Er: 0.571 0.923 0.652
Er: 0.271 0.429 0.348
Er: 0.179 0.327 0.848
Er: 0.668 0.521 0.848
Er: 0.673 0.332 0.152
Er: 0.082 0.729 0.652

Output
Space-group type   I4_1/a, No. 88
Calculated volume   32.7 A^3/atom
D(E_F)   1.58 states/eV per atom

---

two.
Density functional theory data (GGA-PBE) for a relaxed PrEr4 crystal.

a b c (Å): 5.607 5.607 5.607
angles (deg): 90.00 90.00 90.00
Positions (direct):
Pr: 0.500 0.500 0.500
Er: 0.500 0.000 0.500
Er: 0.500 0.500 0.000
Er: 0.000 0.500 0.500
Er: 0.000 0.000 0.000

Output
Space-group type   Pm-3m, No. 221
Calculated volume   35.3 A^3/atom
D(E_F)   1.61 states/eV per atom

---

Stability, highest: one

---

one.
Density functional theory data (GGA-PBE) for a relaxed PrEr3 crystal.

a b c (Å): 6.151 6.151 6.151
angles (deg): 131.58 131.58 70.90
Positions (direct):
Er: 0.500 0.500 0.000
Er: 0.750 0.250 0.500
Er: 0.250 0.750 0.500
Pr: 0.000 0.000 0.000

Output
Space-group type   I4/mmm, No. 139
Calculated volume   31.9 A^3/atom
D(E_F)   1.45 states/eV per atom

---

two.
Density functional theory data (GGA-PBE) for a relaxed PrEr3 crystal.

a b c (Å): 3.642 6.248 6.729
angles (deg): 117.66 105.70 90.00
Positions (direct):
Pr: 0.000 0.996 0.000
Er: 0.500 0.500 0.000
Er: 0.247 0.582 0.495
Er: 0.753 0.088 0.505

Output
Space-group type   Imm2, No. 44
Calculated volume   32.3 A^3/atom
D(E_F)   1.67 states/eV per atom

---

Stability, highest: two

---

one.
Density functional theory data (GGA-PBE) for a relaxed PrEr3 crystal.

a b c (Å): 5.032 5.032 5.032
angles (deg): 90.00 90.00 90.00
Positions (direct):
Er: 0.000 0.500 0.000
Er: 0.000 0.000 0.500
Er: 0.500 0.000 0.000
Pr: 0.500 0.500 0.500

Output
Space-group type   Pm-3m, No. 221
Calculated volume   31.9 A^3/atom
D(E_F)   1.46 states/eV per atom

---

two.
Density functional theory data (GGA-PBE) for a relaxed PrEr3 crystal.

a b c (Å): 5.671 5.671 5.671
angles (deg): 60.00 60.00 60.00
Positions (direct):
Er: 0.000 0.000 0.000
Er: 0.750 0.750 0.750
Er: 0.250 0.250 0.250
Pr: 0.500 0.500 0.500

Output
Space-group type   Fm-3m, No. 225
Calculated volume   32.2 A^3/atom
D(E_F)   1.70 states/eV per atom

---

Stability, highest: one

---

one.
Density functional theory data (GGA-PBE) for a relaxed PrEr3 crystal.

a b c (Å): 3.635 5.671 6.272
angles (deg): 90.00 90.00 90.00
Positions (direct):
Er: 0.500 0.500 0.833
Er: 0.000 0.000 0.997
Er: 0.500 0.000 0.501
Pr: 0.000 0.500 0.335

Output
Space-group type   Pmm2, No. 25
Calculated volume   32.3 A^3/atom
D(E_F)   1.74 states/eV per atom

---

two.
Density functional theory data (GGA-PBE) for a relaxed PrEr3 crystal.

a b c (Å): 7.233 7.233 5.691
angles (deg): 90.00 90.00 120.00
Positions (direct):
Er: 0.835 0.165 0.750
Er: 0.330 0.165 0.750
Er: 0.670 0.835 0.250
Er: 0.165 0.835 0.250
Er: 0.165 0.330 0.250
Er: 0.835 0.670 0.750
Pr: 0.667 0.333 0.250
Pr: 0.333 0.667 0.750

Output
Space-group type   P6_3/mmc, No. 194
Calculated volume   32.2 A^3/atom
D(E_F)   1.77 states/eV per atom

---

Stability, highest: two

---

one.
Density functional theory data (GGA-PBE) for a relaxed Pr2Er crystal.

a b c (Å): 5.540 5.548 5.544
angles (deg): 120.03 119.87 90.00
Positions (direct):
Pr: 0.250 0.750 0.500
Pr: 0.750 0.250 0.500
Er: 0.000 0.000 0.000

Output
Space-group type   R-3m, No. 166
Calculated volume   40.2 A^3/atom
D(E_F)   1.54 states/eV per atom

---

two.
Density functional theory data (GGA-PBE) for a relaxed Pr2Er crystal.

a b c (Å): 3.658 3.658 8.135
angles (deg): 102.99 102.99 90.00
Positions (direct):
Pr: 0.336 0.336 0.672
Pr: 0.664 0.664 0.328
Er: 0.000 0.000 0.000

Output
Space-group type   I4/mmm, No. 139
Calculated volume   34.4 A^3/atom
D(E_F)   1.64 states/eV per atom

---

Stability, highest: two

---

one.
Density functional theory data (GGA-PBE) for a relaxed Pr7Er2 crystal.

a b c (Å): 3.598 10.055 10.055
angles (deg): 120.00 90.00 90.00
Positions (direct):
Er: 0.000 0.667 0.333
Er: 0.000 0.333 0.667
Pr: 0.500 0.637 0.000
Pr: 0.000 0.691 0.691
Pr: 0.500 0.000 0.000
Pr: 0.500 0.000 0.637
Pr: 0.500 0.363 0.363
Pr: 0.000 0.000 0.309
Pr: 0.000 0.309 0.000

Output
Space-group type   P-62m, No. 189
Calculated volume   35.0 A^3/atom
D(E_F)   1.45 states/eV per atom

---

two.
Density functional theory data (GGA-PBE) for a relaxed Pr7Er2 crystal.

a b c (Å): 6.362 6.362 9.003
angles (deg): 90.00 90.00 120.00
Positions (direct):
Pr: 0.334 0.334 0.329
Pr: 0.000 0.334 0.671
Pr: 0.666 0.000 0.329
Pr: 0.000 0.666 0.329
Pr: 0.666 0.666 0.671
Pr: 0.334 0.000 0.671
Pr: 0.000 0.000 0.000
Er: 0.333 0.667 0.000
Er: 0.667 0.333 0.000

Output
Space-group type   P-31m, No. 162
Calculated volume   35.1 A^3/atom
D(E_F)   1.50 states/eV per atom

---

Stability, highest: two

---

one.
Density functional theory data (GGA-PBE) for a relaxed Pr6Er crystal.

a b c (Å): 6.668 6.668 11.468
angles (deg): 90.00 90.00 90.00
Positions (direct):
Pr: 0.169 0.331 0.360
Pr: 0.669 0.831 0.640
Pr: 0.331 0.169 0.640
Pr: 0.169 0.669 0.640
Pr: 0.669 0.169 0.360
Pr: 0.831 0.669 0.360
Pr: 0.000 0.000 0.864
Pr: 0.831 0.331 0.640
Pr: 0.500 0.500 0.864
Pr: 0.000 0.000 0.136
Pr: 0.500 0.500 0.136
Pr: 0.331 0.831 0.360
Er: 0.000 0.500 0.000
Er: 0.500 0.000 0.000

Output
Space-group type   P4/nbm, No. 125
Calculated volume   36.4 A^3/atom
D(E_F)   1.17 states/eV per atom

---

two.
Density functional theory data (GGA-PBE) for a relaxed Pr6Er crystal.

a b c (Å): 7.174 7.174 7.174
angles (deg): 109.47 109.47 109.47
Positions (direct):
Pr: 0.250 0.750 0.500
Pr: 0.750 0.500 0.250
Pr: 0.500 0.750 0.250
Pr: 0.500 0.250 0.750
Pr: 0.250 0.500 0.750
Pr: 0.750 0.250 0.500
Er: 0.000 0.000 0.000

Output
Space-group type   Im-3m, No. 229
Calculated volume   40.6 A^3/atom
D(E_F)   0.82 states/eV per atom

---

Stability, highest: one

---

one.
Density functional theory data (GGA-PBE) for a relaxed Pr6Er5 crystal.

a b c (Å): 10.347 8.471 6.090
angles (deg): 74.14 63.42 52.36
Positions (direct):
Pr: 0.328 0.717 0.882
Pr: 0.672 0.283 0.118
Pr: 0.955 0.717 0.118
Pr: 0.815 0.000 0.596
Pr: 0.045 0.283 0.882
Pr: 0.185 0.000 0.404
Er: 0.234 0.533 0.500
Er: 0.766 0.467 0.500
Er: 0.371 0.258 0.000
Er: 0.500 0.000 0.500
Er: 0.629 0.742 0.000

Output
Space-group type   C2/m, No. 12
Calculated volume   34.4 A^3/atom
D(E_F)   1.61 states/eV per atom

---

two.
Density functional theory data (GGA-PBE) for a relaxed Pr6Er5 crystal.

a b c (Å): 5.657 9.438 9.438
angles (deg): 115.89 107.40 107.40
Positions (direct):
Er: 0.500 0.500 0.500
Er: 0.000 0.338 0.662
Er: 0.500 0.201 0.799
Er: 0.500 0.799 0.201
Er: 0.000 0.662 0.338
Pr: 0.710 0.209 0.209
Pr: 0.791 0.930 0.651
Pr: 0.209 0.349 0.070
Pr: 0.290 0.791 0.791
Pr: 0.209 0.070 0.349
Pr: 0.791 0.651 0.930

Output
Space-group type   C2/m, No. 12
Calculated volume   34.1 A^3/atom
D(E_F)   1.43 states/eV per atom

---

Stability, highest: two

---

one.
Density functional theory data (GGA-PBE) for a relaxed Pr5Er7 crystal.

a b c (Å): 5.734 5.641 14.813
angles (deg): 101.38 90.00 120.55
Positions (direct):
Pr: 0.610 0.221 0.799
Pr: 0.860 0.720 0.565
Pr: 0.140 0.280 0.435
Pr: 0.390 0.779 0.201
Pr: 0.000 0.000 0.000
Er: 0.500 0.000 0.500
Er: 0.234 0.468 0.673
Er: 0.058 0.116 0.215
Er: 0.311 0.623 0.916
Er: 0.689 0.377 0.084
Er: 0.942 0.884 0.785
Er: 0.766 0.532 0.327

Output
Space-group type   C2/m, No. 12
Calculated volume   33.5 A^3/atom
D(E_F)   1.58 states/eV per atom

---

two.
Density functional theory data (GGA-PBE) for a relaxed Pr5Er7 crystal.

a b c (Å): 3.617 9.515 12.178
angles (deg): 73.81 81.46 79.04
Positions (direct):
Pr: 0.305 0.639 0.752
Pr: 0.000 0.000 0.000
Pr: 0.695 0.361 0.248
Pr: 0.835 0.832 0.497
Pr: 0.165 0.168 0.503
Er: 0.028 0.696 0.249
Er: 0.334 0.335 0.996
Er: 0.972 0.304 0.751
Er: 0.666 0.665 0.004
Er: 0.637 0.974 0.752
Er: 0.500 0.500 0.500
Er: 0.363 0.026 0.248

Output
Space-group type   C2/m, No. 12
Calculated volume   32.8 A^3/atom
D(E_F)   1.32 states/eV per atom

---

Stability, highest: two

---

one.
Density functional theory data (GGA-PBE) for a relaxed Pr3Er7 crystal.

a b c (Å): 5.045 7.140 9.443
angles (deg): 100.96 105.49 90.00
Positions (direct):
Er: 0.400 0.198 0.800
Er: 0.200 0.100 0.399
Er: 0.401 0.700 0.802
Er: 0.800 0.900 0.601
Er: 0.599 0.300 0.198
Er: 0.000 0.500 0.000
Er: 0.600 0.802 0.200
Pr: 0.802 0.399 0.604
Pr: 0.000 0.000 0.000
Pr: 0.198 0.601 0.396

Output
Space-group type   C2/m, No. 12
Calculated volume   32.1 A^3/atom
D(E_F)   1.40 states/eV per atom

---

two.
Density functional theory data (GGA-PBE) for a relaxed Pr3Er7 crystal.

a b c (Å): 6.487 10.760 10.760
angles (deg): 120.00 90.00 90.00
Positions (direct):
Pr: 0.867 0.595 0.798
Pr: 0.867 0.202 0.405
Pr: 0.867 0.202 0.798
Pr: 0.367 0.798 0.595
Pr: 0.367 0.798 0.202
Pr: 0.367 0.405 0.202
Er: 0.520 0.333 0.667
Er: 0.386 0.757 0.879
Er: 0.210 0.058 0.529
Er: 0.886 0.879 0.757
Er: 0.710 0.942 0.471
Er: 0.886 0.879 0.121
Er: 0.210 0.471 0.529
Er: 0.386 0.121 0.243
Er: 0.710 0.529 0.058
Er: 0.886 0.243 0.121
Er: 0.020 0.667 0.333
Er: 0.210 0.471 0.942
Er: 0.386 0.121 0.879
Er: 0.710 0.529 0.471

Output
Space-group type   P6_3mc, No. 186
Calculated volume   32.5 A^3/atom
D(E_F)   1.53 states/eV per atom

---

Stability, highest: one

---

one.
Density functional theory data (GGA-PBE) for a relaxed Pr5Er6 crystal.

a b c (Å): 5.623 9.925 9.490
angles (deg): 121.53 107.23 55.50
Positions (direct):
Pr: 0.000 0.663 0.325
Pr: 0.500 0.500 0.000
Pr: 0.500 0.198 0.396
Pr: 0.500 0.802 0.604
Pr: 0.000 0.337 0.675
Er: 0.796 0.069 0.729
Er: 0.705 0.795 0.000
Er: 0.204 0.660 0.729
Er: 0.295 0.205 0.000
Er: 0.796 0.340 0.271
Er: 0.204 0.931 0.271

Output
Space-group type   Immm, No. 71
Calculated volume   33.8 A^3/atom
D(E_F)   1.34 states/eV per atom

---

two.
Density functional theory data (GGA-PBE) for a relaxed Pr5Er6 crystal.

a b c (Å): 9.084 8.047 6.457
angles (deg): 80.14 72.33 55.64
Positions (direct):
Er: 0.301 0.748 0.825
Er: 0.952 0.748 0.175
Er: 0.160 0.000 0.305
Er: 0.840 0.000 0.695
Er: 0.699 0.252 0.175
Er: 0.048 0.252 0.825
Pr: 0.500 0.000 0.500
Pr: 0.632 0.735 0.000
Pr: 0.368 0.265 0.000
Pr: 0.762 0.476 0.500
Pr: 0.238 0.524 0.500

Output
Space-group type   C2/m, No. 12
Calculated volume   33.8 A^3/atom
D(E_F)   1.16 states/eV per atom

---

Stability, highest: one

---

one.
Density functional theory data (GGA-PBE) for a relaxed Pr8Er3 crystal.

a b c (Å): 7.372 7.372 7.372
angles (deg): 84.18 84.18 84.18
Positions (direct):
Er: 0.500 0.500 0.000
Er: 0.500 0.000 0.500
Er: 0.000 0.500 0.500
Pr: 0.390 0.390 0.390
Pr: 0.610 0.610 0.610
Pr: 0.309 0.150 0.885
Pr: 0.691 0.850 0.115
Pr: 0.850 0.115 0.691
Pr: 0.885 0.309 0.150
Pr: 0.150 0.885 0.309
Pr: 0.115 0.691 0.850

Output
Space-group type   R-3, No. 148
Calculated volume   35.9 A^3/atom
D(E_F)   1.12 states/eV per atom

---

two.
Density functional theory data (GGA-PBE) for a relaxed Pr8Er3 crystal.

a b c (Å): 5.155 6.337 13.228
angles (deg): 103.79 90.00 114.00
Positions (direct):
Er: 0.000 0.000 0.000
Er: 0.091 0.182 0.634
Er: 0.909 0.818 0.366
Pr: 0.181 0.361 0.272
Pr: 0.546 0.093 0.818
Pr: 0.635 0.270 0.454
Pr: 0.272 0.545 0.909
Pr: 0.728 0.455 0.091
Pr: 0.365 0.730 0.546
Pr: 0.819 0.639 0.728
Pr: 0.454 0.907 0.182

Output
Space-group type   C2/m, No. 12
Calculated volume   34.6 A^3/atom
D(E_F)   1.53 states/eV per atom

---

Stability, highest: two